Record 1
This record from the Alexandria database describes Np2PaRe after structural relaxation. The functional is PBE-GGA.

abc: 4.6644 4.6644 5.4497
angles: 64.66 64.66 60.00
Last column: nearest neighbours and their distance in Å.
Atoms (fractional coordinates):
Np 0.3185 0.3185 0.0444  1 Pa 2.58, 3 Re 2.70, 3 Np 2.73
Np 0.6815 0.6815 0.9556  1 Pa 2.58, 3 Re 2.70, 3 Np 2.73
Re 0.0000 0.0000 0.0000  6 Np 2.70
Pa 0.5000 0.5000 0.5000  2 Np 2.58

## Properties
Symmetry: No. 166
Total energy, eV/atom: -11.337
Formation energy, kJ/mol of formula units: 239


Record 2
This record from the Alexandria database describes NpPa2Re after structural relaxation. The functional is PBE-GGA.

abc: 4.9197 4.9197 4.9197
angles: 60.00 60.00 60.00
Last column: nearest neighbours and their distance in Å.
Atoms (fractional coordinates):
Np 0.0000 0.0000 0.0000  8 Pa 3.01
Pa 0.2500 0.2500 0.2500  4 Re 3.01, 4 Np 3.01
Pa 0.7500 0.7500 0.7500  4 Re 3.01, 4 Np 3.01
Re 0.5000 0.5000 0.5000  8 Pa 3.01

## Properties
Symmetry: No. 225
Total energy, eV/atom: -10.935
Excess energy over the best structure of this formula in the dataset, eV/f.u.: 0.315
Formation energy, kJ/mol of formula units: 62


Record 3
This record from the Alexandria database describes NpPaRe2 after structural relaxation. The functional is PBE-GGA.

abc: 3.4036 4.8413 4.8413
angles: 90.00 90.00 90.00
Last column: nearest neighbours and their distance in Å.
Atoms (fractional coordinates):
Re 0.0000 0.5000 0.0000  4 Pa 2.96, 4 Np 2.96
Re 0.0000 0.0000 0.5000  4 Pa 2.96, 4 Np 2.96
Pa 0.5000 0.5000 0.5000  8 Re 2.96
Np 0.5000 0.0000 0.0000  8 Re 2.96

## Properties
Symmetry: No. 123
Total energy, eV/atom: -11.607
Excess energy over the best structure of this formula in the dataset, eV/f.u.: 0.053
Formation energy, kJ/mol of formula units: 87